Entry 1:
# PuUFeNi | Alexandria | PBE-GGA | relaxed
# Space-group type: F-43m (216)
# Total DFT energy (no corrections) (eV per atom): -10.18
# ΔE_f (eV per atom): -0.2099
data_PuUFeNi
_chemical_formula_sum 'Pu1 U1 Fe1 Ni1'
_cell_length_a 4.424
_cell_length_b 4.424
_cell_length_c 4.424
_cell_angle_alpha 60.00
_cell_angle_beta 60.00
_cell_angle_gamma 60.00
_symmetry_space_group_name_H-M 'P 1'
_symmetry_Int_Tables_number 1
loop_
_symmetry_equiv_pos_as_xyz
'x,y,z'
loop_
_atom_site_label
_atom_site_type_symbol
_atom_site_fract_x
_atom_site_fract_y
_atom_site_fract_z
Pu1 Pu 0.000 0.000 0.000
U1 U 0.250 0.250 0.250
Fe1 Fe 0.500 0.500 0.500
Ni1 Ni 0.750 0.750 0.750

***

Entry 2:
# Pr2Zn3Ga4Au | Alexandria | PBE-GGA | relaxed
# Space-group type: P-4m2 (115)
# Total DFT energy (no corrections) (eV per atom): -3.40
# ΔE_f (eV per atom): -0.5223
data_Pr2Zn3Ga4Au
_chemical_formula_sum 'Pr2 Zn3 Ga4 Au1'
_cell_length_a 4.315
_cell_length_b 4.315
_cell_length_c 10.661
_cell_angle_alpha 90.00
_cell_angle_beta 90.00
_cell_angle_gamma 90.00
_symmetry_space_group_name_H-M 'P 1'
_symmetry_Int_Tables_number 1
loop_
_symmetry_equiv_pos_as_xyz
'x,y,z'
loop_
_atom_site_label
_atom_site_type_symbol
_atom_site_fract_x
_atom_site_fract_y
_atom_site_fract_z
Pr1 Pr 0.000 0.500 0.248
Pr2 Pr 0.500 0.000 0.752
Zn1 Zn 0.000 0.500 0.867
Zn2 Zn 0.500 0.000 0.133
Zn3 Zn 0.500 0.500 0.500
Ga1 Ga 0.000 0.000 0.000
Ga2 Ga 0.000 0.500 0.637
Ga3 Ga 0.500 0.000 0.363
Ga4 Ga 0.500 0.500 0.000
Au1 Au 0.000 0.000 0.500

***

Which value of ΔE_f does entry 1 give?
-0.2099 eV per atom